Entry 1:
6
Lattice="4.834 0.000 0.000 0.000 4.834 0.000 0.000 0.000 6.883" Properties=species:S:1:pos:R:3 comment="PBE K2AcBrO2, relaxed" spacegroup="P4/mmm (123)" energy_ev_per_fu=-30.62 raw_formation_energy_mev_per_atom=-2121.2 magnetic_moment_mub_per_cell=0.000 pbc="T T T"
K 0.000 0.000 1.605
K 0.000 0.000 5.278
Ac 2.417 2.417 0.000
Br 2.417 2.417 3.441
O 0.000 2.417 0.000
O 2.417 0.000 0.000

=====

Entry 2:
29
Lattice="0.000 7.098 7.098 7.098 0.000 7.098 7.098 7.098 0.000" Properties=species:S:1:pos:R:3 comment="PBE Tm7Cd6Hg16, relaxed" formation_enthalpy_0k_ev_per_atom=-0.267 spacegroup="Fm-3m (225)" energy_ev_per_fu=-49.36 magnetic_moment_mub_per_cell=0.000 pbc="T T T"
Tm 0.000 0.000 0.000
Tm 3.549 3.549 0.000
Tm 3.549 0.000 3.549
Tm 7.098 3.549 3.549
Tm 0.000 3.549 3.549
Tm 3.549 7.098 3.549
Tm 3.549 3.549 7.098
Cd 7.098 7.098 3.550
Cd 7.098 3.550 7.098
Cd 10.646 7.098 7.098
Cd 3.550 7.098 7.098
Cd 7.098 10.646 7.098
Cd 7.098 7.098 10.646
Hg 8.887 5.309 5.309
Hg 1.824 1.824 1.824
Hg 5.274 5.274 1.824
Hg 5.274 1.824 5.274
Hg 5.309 5.309 5.309
Hg 8.887 8.887 5.309
Hg 8.887 5.309 8.887
Hg 12.373 8.922 8.922
Hg 1.824 5.274 5.274
Hg 5.309 8.887 5.309
Hg 5.309 5.309 8.887
Hg 8.887 8.887 8.887
Hg 8.922 12.373 8.922
Hg 8.922 8.922 12.373
Hg 12.373 12.373 12.373
Hg 5.309 8.887 8.887